# NaCaRu2 GGA-PBE relaxed
data_NaCaRu2
_chemical_formula_sum 'Na1 Ca1 Ru2'
_symmetry_space_group_name_H-M 'P 1 m 1'
_symmetry_Int_Tables_number 6
_symmetry_space_group_name_Hall 'P -2y'
_cell_length_a 2.9436
_cell_length_b 3.6690
_cell_length_c 8.4038
_cell_angle_alpha 90.00
_cell_angle_beta 90.14
_cell_angle_gamma 90.00
loop_
_atom_site_label
_atom_site_fract_x
_atom_site_fract_y
_atom_site_fract_z
Na1 0.0000 0.0000 0.0000
Ca1 0.5040 0.5000 0.6113
Ru1 0.0015 0.0000 0.3724
Ru2 0.5007 0.5000 0.2573
# Formation enthalpy at 0 K   0.35 eV/atom
# Spin magnetization   0.0 μB per cell
# Density   4.85 Mg/m³
# Energy relative to the lowest polymorph listed for this composition   0.1851 eV per atom